1.
Computed, not measured: a relaxed structure of Rb2TaCuO4 at the PBE-GGA level of DFT.

```
Rb2TaCuO4
1.0
6.1661 0.0000 0.0000
0.0000 6.1661 0.0000
0.0000 0.0000 7.8483
Rb Ta Cu O
4 2 2 8
Direct
0.0000 0.0000 0.0000
0.0000 0.5000 0.2500
0.5000 0.0000 0.7500
0.5000 0.5000 0.5000
0.0000 0.5000 0.7500
0.5000 0.0000 0.2500
0.0000 0.0000 0.5000
0.5000 0.5000 0.0000
0.1242 0.2817 0.6142
0.2183 0.6242 0.8858
0.2817 0.8758 0.3858
0.3758 0.2183 0.1142
0.6242 0.7817 0.1142
0.7183 0.1242 0.3858
0.7817 0.3758 0.8858
0.8758 0.7183 0.6142
```

Formation energy (no corrections)   -1.8864 eV per atom
Total magnetization   0.08 Bohr magnetons per cell
Space group   I-4, No. 82
Calculated total energy   -6.60 eV/atom

2.
Computed, not measured: a relaxed structure of TiCdTe3 at the PBE-GGA level of DFT.

```
TiCdTe3
1.0
5.3656 0.0000 0.0000
0.0000 5.3656 0.0000
0.0000 0.0000 5.3656
Ti Cd Te
1 1 3
Direct
0.0000 0.0000 0.0000
0.5000 0.5000 0.5000
0.0000 0.0000 0.5000
0.0000 0.5000 0.0000
0.5000 0.0000 0.0000
```

Formation energy (no corrections)   -0.0843 eV per atom
Excess energy over the best structure of this formula in the dataset   0.0 kJ per mole of atoms
Total magnetization   0.00 Bohr magnetons per cell
Space group   Pm-3m, No. 221
Calculated total energy   -3.73 eV/atom
D(E_F)   0.5418 states/eV per atom

3.
Computed, not measured: a relaxed structure of CaNd2Zn2 at the PBE-GGA level of DFT.

```
CaNd2Zn2
1.0
3.6939 0.0000 0.0000
0.0000 5.3349 0.0000
-1.8605 0.0000 13.8682
Ca Nd Zn
2 4 4
Direct
0.1423 0.2500 0.2828
0.8577 0.7500 0.7172
0.0477 0.7500 0.0935
0.2294 0.7500 0.4597
0.7706 0.2500 0.5403
0.9523 0.2500 0.9065
0.3596 0.2500 0.7202
0.4530 0.7500 0.9072
0.5470 0.2500 0.0928
0.6404 0.7500 0.2798
```

Excess energy over the best structure of this formula in the dataset   1.0 kJ per mole of atoms
Total magnetization   0.00 Bohr magnetons per cell
Space group   P2_1/m, No. 11
Formation enthalpy at 0 K   -0.21 eV per atom
Calculated total energy   -3.02 eV/atom
D(E_F)   1.0876 states/eV per atom

4.
Computed, not measured: a relaxed structure of GeTeRh3 at the PBE-GGA level of DFT.

```
GeTeRh3
1.0
4.8391 0.0000 0.0000
0.0000 4.8391 0.0000
0.0000 0.0000 4.8391
Ge Te Rh
1 1 3
Direct
0.0000 0.0000 0.0000
0.5000 0.5000 0.5000
0.0000 0.5000 0.5000
0.5000 0.0000 0.5000
0.5000 0.5000 0.0000
```

Formation energy (no corrections)   0.8556 eV per atom
Excess energy over the best structure of this formula in the dataset   42.7 kJ per mole of atoms
Total magnetization   1.22 Bohr magnetons per cell
Space group   Pm-3m, No. 221
Calculated total energy   -5.11 eV/atom
D(E_F)   0.8687 states/eV per atom